No. 1
First-principles (PBE) data for KSmAs2Pt4 after structural relaxation, as listed in Alexandria via LeMat-Bulk.

It has space group P4/mmm (No. 123), with a = 4.061 Å, b = 4.061 Å, c = 11.101 Å, α = 90.00°, β = 90.00° and γ = 90.00°. The asymmetric unit holds K at (0.000, 0.000, 0.000), Sm at (0.000, 0.000, 0.500), As at (0.500, 0.500, 0.175) and Pt at (0.000, 0.500, 0.302).

As for the energy of formation from the pure elements: -0.6341 eV per atom. The value obtained for the energy is -5.54 eV per atom. As for the density of states at the Fermi level: 5.21 states/eV/cell.


No. 2
First-principles (PBE) data for K2TlAsPt after structural relaxation, as listed in Alexandria via LeMat-Bulk.

It has space group P4/mmm (No. 123), with a = 6.244 Å, b = 6.244 Å, c = 4.642 Å, α = 90.00°, β = 90.00° and γ = 90.00°. The asymmetric unit holds K at (0.000, 0.500, 0.000), Tl at (0.000, 0.000, 0.500), As at (0.500, 0.500, 0.500) and Pt at (0.500, 0.500, 0.000).

As for the energy of formation from the pure elements: -0.1507 eV per atom. The value obtained for the energy is -3.20 eV per atom. As for the density of states at the Fermi level: 3.25 states/eV/cell.


No. 3
First-principles (PBE) data for KPuAs2 after structural relaxation, as listed in Alexandria via LeMat-Bulk.

It has space group P4/mmm (No. 123), with a = 3.910 Å, b = 3.910 Å, c = 7.186 Å, α = 90.00°, β = 90.00° and γ = 90.00°. The asymmetric unit holds K at (0.000, 0.000, 0.000), Pu at (0.000, 0.000, 0.500) and As at (0.500, 0.500, 0.324).

The value obtained for the energy above the lowest structure with this stoichiometry is 0.000 eV/atom. As for the energy of formation from the pure elements: -0.6137 eV per atom. The value obtained for the energy is -6.80 eV per atom. As for the density of states at the Fermi level: 11.56 states/eV/cell.


No. 4
First-principles (PBE) data for KPuAs2 after structural relaxation, as listed in Alexandria via LeMat-Bulk.

It has space group R3m (No. 160, hexagonal axes), with a = 4.2820 Å, b = 4.2820 Å, c = 23.0872 Å, α = 90.00°, β = 90.00° and γ = 120.00°. The asymmetric unit holds K at (0.0000, 0.0000, 0.0000), Pu at (0.0000, 0.0000, 0.1706), As at (0.0000, 0.0000, 0.5645) and As at (0.0000, 0.0000, 0.7759).

The value obtained for the energy above the lowest structure with this stoichiometry is 0.112 eV/atom. As for the energy of formation from the pure elements: -0.5016 eV per atom. The value obtained for the energy is -6.68 eV per atom. As for the density of states at the Fermi level: 44.26 states/eV/cell.


No. 5
First-principles (PBE) data for KPuAs2 after structural relaxation, as listed in Alexandria via LeMat-Bulk.

It has space group R-3m (No. 166, hexagonal axes), with a = 4.3134 Å, b = 4.3134 Å, c = 22.5587 Å, α = 90.00°, β = 90.00° and γ = 120.00°. The asymmetric unit holds K at (0.0000, 0.0000, 0.0000), Pu at (0.0000, 0.0000, 0.5000) and As at (0.0000, 0.0000, 0.2274).

The value obtained for the energy above the lowest structure with this stoichiometry is 0.090 eV/atom. As for the energy of formation from the pure elements: -0.5233 eV per atom. The value obtained for the energy is -6.71 eV per atom. As for the density of states at the Fermi level: 44.34 states/eV/cell.


No. 6
First-principles (PBE) data for KPuTe3As after structural relaxation, as listed in Alexandria via LeMat-Bulk.

It has space group P2_1/m (No. 11), with a = 8.850 Å, b = 4.240 Å, c = 10.679 Å, α = 90.00°, β = 95.34° and γ = 90.00°. The asymmetric unit holds K at (0.158, 0.250, 0.314), Pu at (0.362, 0.750, 0.841), Te at (0.107, 0.250, 0.884), Te at (0.386, 0.750, 0.134), Te at (0.390, 0.750, 0.552) and As at (0.195, 0.250, 0.654).

The energy relative to the elements, uncorrected is -0.66 eV/atom. The value obtained for the energy is -5.58 eV per atom. As for the density of states at the Fermi level: 23.88 states/eV/cell.


No. 7
First-principles (PBE) data for K2Rb2As3 after structural relaxation, as listed in Alexandria via LeMat-Bulk.

It has space group C2/m (No. 12), with a = 14.178 Å, b = 5.214 Å, c = 7.561 Å, α = 90.00°, β = 118.02° and γ = 90.00°. The asymmetric unit holds K at (0.160, 0.000, 0.291), Rb at (0.119, 0.000, 0.789), As at (0.000, 0.500, 0.000) and As at (0.063, 0.500, 0.431).

As for the energy of formation from the pure elements: -0.3002 eV per atom. The value obtained for the energy is -2.88 eV per atom. As for the density of states at the Fermi level: 5.89 states/eV/cell.


No. 8
First-principles (PBE) data for KRbAs3 after structural relaxation, as listed in Alexandria via LeMat-Bulk.

It has space group Pm-3m (No. 221), with a = 5.740 Å, b = 5.740 Å, c = 5.740 Å, α = 90.00°, β = 90.00° and γ = 90.00°. The asymmetric unit holds K at (0.000, 0.000, 0.000), Rb at (0.500, 0.500, 0.500) and As at (0.000, 0.000, 0.500).

The value obtained for the energy above the lowest structure with this stoichiometry is 0.000 eV/atom. As for the energy of formation from the pure elements: 0.9142 eV per atom. The value obtained for the energy is -2.29 eV per atom. As for the density of states at the Fermi level: 4.93 states/eV/cell.


No. 9
First-principles (PBE) data for KRbAs3 after structural relaxation, as listed in Alexandria via LeMat-Bulk.

It has space group Pm-3m (No. 221), with a = 5.855 Å, b = 5.855 Å, c = 5.855 Å, α = 90.00°, β = 90.00° and γ = 90.00°. The asymmetric unit holds K at (0.000, 0.000, 0.000), Rb at (0.500, 0.500, 0.500) and As at (0.000, 0.500, 0.500).

The value obtained for the energy above the lowest structure with this stoichiometry is 0.159 eV/atom. As for the energy of formation from the pure elements: 1.0727 eV per atom. The value obtained for the energy is -2.13 eV per atom. As for the density of states at the Fermi level: 8.67 states/eV/cell.


No. 10
First-principles (PBE) data for K4Rb3As after structural relaxation, as listed in Alexandria via LeMat-Bulk.

It has space group Pmmn (No. 59, origin choice 2), with a = 7.602 Å, b = 15.136 Å, c = 9.273 Å, α = 90.00°, β = 90.00° and γ = 90.00°. The asymmetric unit holds K at (0.003, 0.250, 0.011), K at (0.250, 0.116, 0.593), Rb at (0.250, 0.027, 0.181), Rb at (0.250, 0.750, 0.571) and As at (0.250, 0.250, 0.308).

As for the energy of formation from the pure elements: -0.0924 eV per atom. The value obtained for the energy is -1.59 eV per atom. As for the density of states at the Fermi level: 11.74 states/eV/cell.


No. 11
First-principles (PBE) data for KRb2As2 after structural relaxation, as listed in Alexandria via LeMat-Bulk.

It has space group P4/mbm (No. 127), with a = 8.537 Å, b = 8.537 Å, c = 5.372 Å, α = 90.00°, β = 90.00° and γ = 90.00°. The asymmetric unit holds K at (0.000, 0.000, 0.000), Rb at (0.169, 0.331, 0.500) and As at (0.101, 0.601, 0.000).

The value obtained for the energy above the lowest structure with this stoichiometry is 0.029 eV/atom. As for the energy of formation from the pure elements: -0.3072 eV per atom. The value obtained for the energy is -2.77 eV per atom. As for the density of states at the Fermi level: 5.50 states/eV/cell.


No. 12
First-principles (PBE) data for K4RbAs4 after structural relaxation, as listed in Alexandria via LeMat-Bulk.

It has space group P4_2/n (No. 86, origin choice 2), with a = 10.524 Å, b = 10.524 Å, c = 6.640 Å, α = 90.00°, β = 90.00° and γ = 90.00°. The asymmetric unit holds K at (0.089, 0.645, 0.106), Rb at (0.250, 0.250, 0.250) and As at (0.030, 0.589, 0.599).

As for the energy of formation from the pure elements: -0.2961 eV per atom. The value obtained for the energy is -2.96 eV per atom. As for the density of states at the Fermi level: 17.82 states/eV/cell.


No. 13
First-principles (PBE) data for K2RbAs2 after structural relaxation, as listed in Alexandria via LeMat-Bulk.

It has space group C2/c (No. 15), with a = 12.662 Å, b = 6.180 Å, c = 9.675 Å, α = 90.00°, β = 105.81° and γ = 90.00°. The asymmetric unit holds K at (0.160, 0.179, 0.152), Rb at (0.000, 0.310, 0.750) and As at (0.158, 0.317, 0.494).

The value obtained for the energy above the lowest structure with this stoichiometry is 0.000 eV/atom. As for the energy of formation from the pure elements: -0.3393 eV per atom. The value obtained for the energy is -2.83 eV per atom. As for the density of states at the Fermi level: 15.92 states/eV/cell.


No. 14
First-principles (PBE) data for K2RbAs after structural relaxation, as listed in Alexandria via LeMat-Bulk.

It has space group I-42d (No. 122), with a = 5.563 Å, b = 5.563 Å, c = 22.773 Å, α = 90.00°, β = 90.00° and γ = 90.00°. The asymmetric unit holds K at (0.191, 0.250, 0.125), Rb at (0.000, 0.000, 0.500) and As at (0.000, 0.000, 0.000).

As for the energy of formation from the pure elements: -0.0439 eV per atom. The value obtained for the energy is -2.00 eV per atom. As for the density of states at the Fermi level: 2.75 states/eV/cell.


No. 15
First-principles (PBE) data for K3RbAs after structural relaxation, as listed in Alexandria via LeMat-Bulk.

It has space group Pm-3m (No. 221), with a = 6.604 Å, b = 6.604 Å, c = 6.604 Å, α = 90.00°, β = 90.00° and γ = 90.00°. The asymmetric unit holds K at (0.000, 0.000, 0.500), Rb at (0.500, 0.500, 0.500) and As at (0.000, 0.000, 0.000).

The value obtained for the energy above the lowest structure with this stoichiometry is 0.036 eV/atom. As for the energy of formation from the pure elements: -0.1566 eV per atom. The value obtained for the energy is -1.94 eV per atom. As for the density of states at the Fermi level: 6.32 states/eV/cell.


No. 16
First-principles (PBE) data for KRbAs2 after structural relaxation, as listed in Alexandria via LeMat-Bulk.

It has space group Fm-3m (No. 225), with a = 7.987 Å, b = 7.987 Å, c = 7.987 Å, α = 90.00°, β = 90.00° and γ = 90.00°. The asymmetric unit holds K at (0.000, 0.000, 0.000), Rb at (0.000, 0.000, 0.500) and As at (0.250, 0.250, 0.250).

The value obtained for the energy above the lowest structure with this stoichiometry is 0.080 eV/atom. As for the energy of formation from the pure elements: 0.1760 eV per atom. The value obtained for the energy is -2.67 eV per atom. As for the density of states at the Fermi level: 14.09 states/eV/cell.


No. 17
First-principles (PBE) data for K3RbAs after structural relaxation, as listed in Alexandria via LeMat-Bulk.

It has space group Amm2 (No. 38), with a = 6.086 Å, b = 10.426 Å, c = 8.511 Å, α = 90.00°, β = 90.00° and γ = 90.00°. The asymmetric unit holds K at (0.000, 0.000, 0.000), K at (0.500, 0.218, 0.161), Rb at (0.000, 0.000, 0.577) and As at (0.500, 0.000, 0.844).

The value obtained for the energy above the lowest structure with this stoichiometry is 0.000 eV/atom. As for the energy of formation from the pure elements: -0.1926 eV per atom. The value obtained for the energy is -1.97 eV per atom. As for the density of states at the Fermi level: 6.01 states/eV/cell.


No. 18
First-principles (PBE) data for KRb2As2 after structural relaxation, as listed in Alexandria via LeMat-Bulk.

It has space group I4/mmm (No. 139), with a = 5.932 Å, b = 5.932 Å, c = 12.170 Å, α = 90.00°, β = 90.00° and γ = 90.00°. The asymmetric unit holds K at (0.000, 0.000, 0.000), Rb at (0.000, 0.000, 0.364) and As at (0.000, 0.500, 0.250).

The value obtained for the energy above the lowest structure with this stoichiometry is 0.503 eV/atom. As for the energy of formation from the pure elements: 0.1666 eV per atom. The value obtained for the energy is -2.30 eV per atom. As for the density of states at the Fermi level: 9.42 states/eV/cell.


No. 19
First-principles (PBE) data for KRbAs after structural relaxation, as listed in Alexandria via LeMat-Bulk.

It has space group C2/m (No. 12), with a = 10.276 Å, b = 5.923 Å, c = 8.172 Å, α = 90.00°, β = 114.77° and γ = 90.00°. The asymmetric unit holds K at (0.203, 0.000, 0.109), Rb at (0.134, 0.500, 0.404) and As at (0.059, 0.000, 0.676).

The value obtained for the energy above the lowest structure with this stoichiometry is 0.011 eV/atom. As for the energy of formation from the pure elements: -0.3084 eV per atom. The value obtained for the energy is -2.55 eV per atom. As for the density of states at the Fermi level: 8.46 states/eV/cell.


No. 20
First-principles (PBE) data for K2Rb2As after structural relaxation, as listed in Alexandria via LeMat-Bulk.

It has space group P4/mbm (No. 127), with a = 8.697 Å, b = 8.697 Å, c = 6.833 Å, α = 90.00°, β = 90.00° and γ = 90.00°. The asymmetric unit holds K at (0.159, 0.341, 0.000), Rb at (0.205, 0.705, 0.500) and As at (0.000, 0.000, 0.000).

The value obtained for the energy above the lowest structure with this stoichiometry is 0.120 eV/atom. As for the energy of formation from the pure elements: -0.0608 eV per atom. The value obtained for the energy is -1.82 eV per atom. As for the density of states at the Fermi level: 3.67 states/eV/cell.